No. 1
PrNd2Ru | PBE | relaxed

- Distance to the lowest polymorph of the same formula: 0.487 kcal/mol of atoms

abc: 6.5021 6.5021 9.6497
angles: 90.00 90.00 144.31
Positions (direct):
Pr 0.0814 0.9186 0.7500
Pr 0.9186 0.0814 0.2500
Nd 0.3575 0.6425 0.5703
Nd 0.3575 0.6425 0.9297
Nd 0.6425 0.3575 0.0703
Nd 0.6425 0.3575 0.4297
Ru 0.2494 0.7506 0.2500
Ru 0.7506 0.2494 0.7500

---

No. 2
Pr6Nd2Ru | PBE | relaxed

abc: 10.1368 10.1368 3.7764
angles: 90.00 90.00 124.38
Positions (direct):
Pr 0.0015 0.6672 0.0000
Pr 0.2160 0.2160 0.5000
Pr 0.3328 0.9985 0.0000
Pr 0.6672 0.0015 0.0000
Pr 0.7840 0.7840 0.5000
Pr 0.9985 0.3328 0.0000
Nd 0.3271 0.6729 0.5000
Nd 0.6729 0.3271 0.5000
Ru 0.0000 0.0000 0.0000

---

No. 3
Pr2NdRu | PBE | relaxed

- Distance to the lowest polymorph of the same formula: 8.783 kcal/mol of atoms

abc: 10.9097 10.9097 10.9097
angles: 20.03 20.03 20.03
Positions (direct):
Pr 0.1113 0.1113 0.1113
Pr 0.8887 0.8887 0.8887
Nd 0.0000 0.0000 0.0000
Ru 0.5000 0.5000 0.5000

---

In μB/f.u., the total magnetization values for the records above are, in order, 0.0, 0.0, 0.0.
In eV/atom, the energy of formation from the pure elements values for the records above are, in order, -0.162, 0.152, 0.207.